[1]
# TiIN2Cl PBE optimized geometry
# **Final energy**: -5.0983 eV/atom
data_TiIN2Cl
_space_group_name_H-M_alt 'P 1'
_space_group_IT_number 1
_space_group_name_Hall 'P 1'
_cell_length_a 3.948
_cell_length_b 3.948
_cell_length_c 6.178
_cell_angle_alpha 90.00
_cell_angle_beta 90.00
_cell_angle_gamma 90.00
loop_
_atom_site_label
_atom_site_type_symbol
_atom_site_fract_x
_atom_site_fract_y
_atom_site_fract_z
I1 I 0.000 0.000 0.500
N1 N 0.000 0.500 0.000
N2 N 0.500 0.000 0.000
Cl1 Cl 0.500 0.500 0.500
Ti1 Ti 0.000 0.000 0.000



[2]
# TiIN2Cl PBE optimized geometry
# **Final energy**: -3.5071 eV/atom
data_TiIN2Cl
_space_group_name_H-M_alt 'P 1'
_space_group_IT_number 1
_space_group_name_Hall 'P 1'
_cell_length_a 3.891
_cell_length_b 3.891
_cell_length_c 5.811
_cell_angle_alpha 90.00
_cell_angle_beta 90.00
_cell_angle_gamma 90.00
loop_
_atom_site_label
_atom_site_type_symbol
_atom_site_fract_x
_atom_site_fract_y
_atom_site_fract_z
I1 I 0.000 0.000 0.500
N1 N 0.000 0.500 0.000
N2 N 0.500 0.000 0.000
Cl1 Cl 0.000 0.000 0.000
Ti1 Ti 0.500 0.500 0.500



The records above yield Fermi-level density of states values of 2.505; 5.725 states/eV/cell, respectively.
The records above yield magnetization values of 0.00; 0.00 μB/cell, respectively.
The records above yield mass density values of 4.107; 4.495 g/cm3, respectively.